VASP calculation (GGA-PBE) on a relaxed NaCu2Sb2 crystal.

Cell: 6.249 6.259 7.101 Å, 66.24 83.67 63.03°
Fractional coordinates of all 10 atoms:
Na 0.249 0.118 0.260
Na 0.751 0.882 0.740
Cu 0.195 0.775 0.047
Cu 0.302 0.534 0.431
Cu 0.698 0.466 0.569
Cu 0.805 0.225 0.953
Sb 0.158 0.179 0.710
Sb 0.343 0.501 0.808
Sb 0.657 0.499 0.192
Sb 0.842 0.821 0.290

## Properties
**Symmetry**: P-1
**Relative energy among the computed polymorphs**: 0.018 eV/atom
**E_form (uncorrected)**: -0.096 eV per atom
**Magnetization**: 0.0 μB/cell
**DFT total energy**: -18.24 eV/f.u.



VASP calculation (GGA-PBE) on a relaxed FePd6Au3 crystal.

Cell: 5.214 5.214 7.104 Å, 90.00 90.00 120.00°
Fractional coordinates of all 10 atoms:
Fe 0.000 0.000 0.000
Pd 0.000 0.392 0.821
Pd 0.000 0.608 0.179
Pd 0.392 0.000 0.821
Pd 0.392 0.392 0.179
Pd 0.608 0.000 0.179
Pd 0.608 0.608 0.821
Au 0.000 0.000 0.500
Au 0.333 0.667 0.500
Au 0.667 0.333 0.500

## Properties
**Symmetry**: P-31m
**Relative energy among the computed polymorphs**: 0.144 eV/atom
**Magnetization**: 4.4 μB/cell
**Energy of formation**: 0.09 eV per atom
**DFT total energy**: -48.55 eV/f.u.



VASP calculation (GGA-PBE) on a relaxed Ba9S2Cl14 crystal.

Cell: 9.143 9.143 12.692 Å, 90.00 90.00 120.00°
Fractional coordinates of all 25 atoms:
Ba 0.000 0.000 0.000
Ba 0.049 0.347 0.340
Ba 0.298 0.951 0.340
Ba 0.333 0.667 0.024
Ba 0.347 0.298 0.660
Ba 0.653 0.702 0.340
Ba 0.667 0.333 0.976
Ba 0.702 0.049 0.660
Ba 0.951 0.653 0.660
S 0.333 0.667 0.257
S 0.667 0.333 0.743
Cl 0.000 0.000 0.254
Cl 0.000 0.000 0.746
Cl 0.033 0.682 0.909
Cl 0.056 0.375 0.592
Cl 0.318 0.351 0.909
Cl 0.319 0.944 0.592
Cl 0.351 0.033 0.091
Cl 0.375 0.319 0.408
Cl 0.625 0.681 0.592
Cl 0.649 0.967 0.909
Cl 0.681 0.056 0.408
Cl 0.682 0.649 0.091
Cl 0.944 0.625 0.408
Cl 0.967 0.318 0.091

## Properties
**Symmetry**: P-3
**E_form (uncorrected)**: -2.444 eV per atom
**Magnetization**: 0.4 μB/cell
**DFT total energy**: -112.50 eV/f.u.



VASP calculation (GGA-PBE) on a relaxed Tb2NdSm5Y crystal.

Cell: 10.564 10.564 10.694 Å, 90.00 90.00 148.86°
Fractional coordinates of all 18 atoms:
Tb 0.111 0.889 0.500
Tb 0.116 0.884 0.083
Tb 0.884 0.116 0.583
Tb 0.889 0.111 0.000
Nd 0.202 0.798 0.775
Nd 0.798 0.202 0.275
Sm 0.016 0.984 0.788
Sm 0.280 0.720 0.073
Sm 0.298 0.702 0.470
Sm 0.392 0.608 0.790
Sm 0.479 0.521 0.506
Sm 0.521 0.479 0.006
Sm 0.608 0.392 0.290
Sm 0.702 0.298 0.970
Sm 0.720 0.280 0.573
Sm 0.984 0.016 0.288
Y 0.411 0.589 0.221
Y 0.589 0.411 0.721

## Properties
**Symmetry**: Cmc2_1
**Magnetization**: 0.0 μB/cell
**Energy of formation**: 0.15 eV per atom
**DFT total energy**: -42.74 eV/f.u.